4
Lattice="4.5588 0.0000 0.0000 0.0000 4.5588 0.0000 0.0000 0.0000 3.4677" Properties=species:S:1:pos:R:3 comment="LiHf2Pd (PBE-GGA, relaxed)" total_magnetization_mub_per_cell=0.00 e_form_mev_per_atom=-180 space_group="P4/mmm, No. 123" crystal_system=tetragonal pbc="T T T"
Li 0.0000 0.0000 0.0000
Hf 0.0000 2.2794 1.7338
Hf 2.2794 0.0000 1.7338
Pd 2.2794 2.2794 0.0000


5
Lattice="4.9164 0.0000 0.0000 0.0000 4.9164 0.0000 0.0000 0.0000 4.9164" Properties=species:S:1:pos:R:3 comment="LiHfPd3 (PBE-GGA, relaxed)" polymorph_energy_ev_per_atom=0.962 total_magnetization_mub_per_cell=0.00 e_form_mev_per_atom=309 space_group="Pm-3m, No. 221" crystal_system=cubic pbc="T T T"
Li 0.0000 0.0000 0.0000
Hf 2.4582 2.4582 2.4582
Pd 0.0000 2.4582 2.4582
Pd 2.4582 0.0000 2.4582
Pd 2.4582 2.4582 0.0000


12
Lattice="4.0136 -7.0890 0.0000 4.0136 7.0890 0.0000 -2.6894 0.0000 3.7948" Properties=species:S:1:pos:R:3 comment="LiHf5Pd6 (PBE-GGA, relaxed)" total_magnetization_mub_per_cell=0.00 e_form_mev_per_atom=-620 space_group="C2/m, No. 12" crystal_system=monoclinic pbc="T T T"
Li 0.0000 0.0000 0.0000
Hf 2.6689 4.8467 1.8974
Hf 4.0136 2.3323 0.0000
Hf 2.6689 0.0000 1.8974
Hf 4.0136 -2.3323 0.0000
Hf 2.6689 -4.8467 1.8974
Pd 1.3733 2.5119 0.9779
Pd 0.0336 0.0000 2.8800
Pd 1.3733 -2.5119 0.9779
Pd 3.9645 2.5119 2.8168
Pd 5.3041 0.0000 0.9148
Pd 3.9645 -2.5119 2.8168